<P>
Below is CsGaPb3 after structural relaxation, with properties calculated at the PBE level.

Symmetry   Pm-3m, No. 221
Total magnetic moment   0.00 μB per formula unit

abc: 6.357 6.357 6.357
angles: 90.00 90.00 90.00
Fractional coordinates of all 5 atoms:
Cs  0.000  0.000  0.000
Ga  0.500  0.500  0.500
Pb  0.000  0.000  0.500
Pb  0.000  0.500  0.000
Pb  0.500  0.000  0.000



<Q>
Below is CsGaPb3 after structural relaxation, with properties calculated at the PBE level.

Symmetry   Pm-3m, No. 221
Total magnetic moment   0.00 μB per formula unit

abc: 5.772 5.772 5.772
angles: 90.00 90.00 90.00
Fractional coordinates of all 5 atoms:
Cs  0.000  0.000  0.000
Ga  0.500  0.500  0.500
Pb  0.000  0.500  0.500
Pb  0.500  0.000  0.500
Pb  0.500  0.500  0.000



Stability order, top to bottom: <Q>, <P>



<P>
Below is Cs2GaPb after structural relaxation, with properties calculated at the PBE level.

Symmetry   Fm-3m, No. 225
Total magnetic moment   0.68 μB per formula unit

abc: 6.403 6.403 6.403
angles: 60.00 60.00 60.00
Fractional coordinates of all 4 atoms:
Cs  0.250  0.250  0.250
Cs  0.750  0.750  0.750
Ga  0.000  0.000  0.000
Pb  0.500  0.500  0.500



<Q>
Below is Cs2GaPb after structural relaxation, with properties calculated at the PBE level.

Symmetry   C2, No. 5
Total magnetic moment   0.00 μB per formula unit

abc: 7.227 7.227 4.807
angles: 109.35 109.35 61.14
Fractional coordinates of all 4 atoms:
Cs  0.183  0.183  0.183
Cs  0.817  0.817  0.817
Ga  0.328  0.672  0.500
Pb  0.514  0.486  0.000



Stability order, top to bottom: <Q>, <P>



<P>
Below is Cs2Ga2Pb after structural relaxation, with properties calculated at the PBE level.

Symmetry   C2/m, No. 12
Total magnetic moment   0.00 μB per formula unit

abc: 8.224 8.224 8.984
angles: 105.39 105.39 113.64
Fractional coordinates of all 10 atoms:
Cs  0.063  0.361  0.274
Cs  0.361  0.063  0.274
Cs  0.639  0.937  0.726
Cs  0.937  0.639  0.726
Ga  0.201  0.201  0.906
Ga  0.403  0.403  0.699
Ga  0.597  0.597  0.301
Ga  0.799  0.799  0.094
Pb  0.383  0.617  0.000
Pb  0.617  0.383  0.000



<Q>
Below is Cs2Ga2Pb after structural relaxation, with properties calculated at the PBE level.

Symmetry   I4/mmm, No. 139
Total magnetic moment   0.28 μB per formula unit

abc: 13.377 13.377 13.377
angles: 163.53 163.53 23.37
Fractional coordinates of all 5 atoms:
Cs  0.114  0.114  0.000
Cs  0.886  0.886  0.000
Ga  0.250  0.750  0.500
Ga  0.750  0.250  0.500
Pb  0.500  0.500  0.000



<R>
Below is Cs2Ga2Pb after structural relaxation, with properties calculated at the PBE level.

Symmetry   P4/mbm, No. 127
Total magnetic moment   0.00 μB per formula unit

abc: 7.675 7.675 6.411
angles: 90.00 90.00 90.00
Fractional coordinates of all 10 atoms:
Cs  0.188  0.312  0.000
Cs  0.312  0.812  0.000
Cs  0.688  0.188  0.000
Cs  0.812  0.688  0.000
Ga  0.120  0.620  0.500
Ga  0.380  0.120  0.500
Ga  0.620  0.880  0.500
Ga  0.880  0.380  0.500
Pb  0.000  0.000  0.500
Pb  0.500  0.500  0.500



Stability order, top to bottom: <P>, <R>, <Q>



<P>
Below is CsGaPb4 after structural relaxation, with properties calculated at the PBE level.

Symmetry   F-43m, No. 216
Total magnetic moment   0.00 μB per formula unit

abc: 6.722 6.722 6.722
angles: 60.00 60.00 60.00
Fractional coordinates of all 6 atoms:
Cs  0.000  0.000  0.000
Ga  0.750  0.750  0.750
Pb  0.375  0.375  0.375
Pb  0.375  0.375  0.874
Pb  0.375  0.874  0.375
Pb  0.874  0.375  0.375



<Q>
Below is CsGaPb4 after structural relaxation, with properties calculated at the PBE level.

Symmetry   C2/c, No. 15
Total magnetic moment   0.00 μB per formula unit

abc: 8.887 8.887 6.338
angles: 94.08 94.08 62.63
Fractional coordinates of all 12 atoms:
Cs  0.186  0.814  0.750
Cs  0.814  0.186  0.250
Ga  0.000  0.500  0.500
Ga  0.500  0.000  0.000
Pb  0.119  0.296  0.895
Pb  0.296  0.119  0.395
Pb  0.305  0.462  0.239
Pb  0.462  0.305  0.739
Pb  0.538  0.695  0.261
Pb  0.695  0.538  0.761
Pb  0.704  0.881  0.605
Pb  0.881  0.704  0.105



Stability order, top to bottom: <Q>, <P>



<P>
Below is CsGaPd3 after structural relaxation, with properties calculated at the PBE level.

Symmetry   Pm-3m, No. 221
Total magnetic moment   0.00 μB per formula unit

abc: 5.316 5.316 5.316
angles: 90.00 90.00 90.00
Fractional coordinates of all 5 atoms:
Cs  0.000  0.000  0.000
Ga  0.500  0.500  0.500
Pd  0.000  0.000  0.500
Pd  0.000  0.500  0.000
Pd  0.500  0.000  0.000



<Q>
Below is CsGaPd3 after structural relaxation, with properties calculated at the PBE level.

Symmetry   Pm-3m, No. 221
Total magnetic moment   0.00 μB per formula unit

abc: 4.904 4.904 4.904
angles: 90.00 90.00 90.00
Fractional coordinates of all 5 atoms:
Cs  0.000  0.000  0.000
Ga  0.500  0.500  0.500
Pd  0.000  0.500  0.500
Pd  0.500  0.000  0.500
Pd  0.500  0.500  0.000



Stability order, top to bottom: <Q>, <P>



<P>
Below is CsGa2Pt2 after structural relaxation, with properties calculated at the PBE level.

Symmetry   P4/mbm, No. 127
Total magnetic moment   0.00 μB per formula unit

abc: 8.386 8.386 2.972
angles: 90.00 90.00 90.00
Fractional coordinates of all 10 atoms:
Cs  0.000  0.000  0.000
Cs  0.500  0.500  0.000
Ga  0.122  0.378  0.500
Ga  0.378  0.878  0.500
Ga  0.622  0.122  0.500
Ga  0.878  0.622  0.500
Pt  0.151  0.651  0.000
Pt  0.349  0.151  0.000
Pt  0.651  0.849  0.000
Pt  0.849  0.349  0.000



<Q>
Below is CsGa2Pt2 after structural relaxation, with properties calculated at the PBE level.

Symmetry   I4/mmm, No. 139
Total magnetic moment   0.00 μB per formula unit

abc: 7.708 7.708 7.708
angles: 146.75 146.75 47.73
Fractional coordinates of all 5 atoms:
Cs  0.000  0.000  0.000
Ga  0.250  0.750  0.500
Ga  0.750  0.250  0.500
Pt  0.336  0.336  0.000
Pt  0.664  0.664  0.000



<R>
Below is CsGa2Pt2 after structural relaxation, with properties calculated at the PBE level.

Symmetry   P-1, No. 2
Total magnetic moment   0.00 μB per formula unit

abc: 6.936 6.943 6.947
angles: 103.53 118.34 106.89
Fractional coordinates of all 10 atoms:
Cs  0.120  0.250  0.370
Cs  0.880  0.750  0.630
Ga  0.262  0.429  0.972
Ga  0.455  0.928  0.666
Ga  0.545  0.072  0.334
Ga  0.738  0.571  0.028
Pt  0.195  0.710  0.215
Pt  0.496  0.210  0.015
Pt  0.504  0.790  0.985
Pt  0.805  0.290  0.785



<S>
Below is CsGa2Pt2 after structural relaxation, with properties calculated at the PBE level.

Symmetry   I4/mmm, No. 139
Total magnetic moment   0.00 μB per formula unit

abc: 8.011 8.011 8.011
angles: 149.83 149.83 43.19
Fractional coordinates of all 5 atoms:
Cs  0.000  0.000  0.000
Ga  0.345  0.345  0.000
Ga  0.655  0.655  0.000
Pt  0.250  0.750  0.500
Pt  0.750  0.250  0.500



Stability order, top to bottom: <R>, <S>, <Q>, <P>